The following is a DFT calculation (PBE) of a relaxed structure of LiThIrPd.

POSCAR file:
```
LiThIrPd
1.0
3.940 0.000 0.000
0.000 4.136 0.000
0.000 0.000 4.576
Li Th Ir Pd
1 1 1 1
direct
0.000 0.000 0.000 Li
0.000 0.500 0.500 Th
0.500 0.000 0.500 Ir
0.500 0.500 0.000 Pd
```

## Properties
Uncorrected energy, eV per atom: -6.504
Energy of formation from the pure elements, eV per formula unit: -2.63
E above lowest polymorph, meV per atom: 0
Space-group type: Pmmm (47)
DOS(E_F), states/eV per atom: 0.210



The following is a DFT calculation (PBE) of a relaxed structure of BaCuSi2.

POSCAR file:
```
BaCuSi2
1.0
2.008 1.159 6.385
-2.008 1.159 6.385
0.000 -2.319 6.385
Ba Cu Si
1 1 2
direct
0.000 0.000 0.000 Ba
0.184 0.184 0.184 Cu
0.546 0.546 0.546 Si
0.802 0.802 0.802 Si
```

## Properties
Uncorrected energy, eV per atom: -4.393
Formation energy without anion corrections, eV per atom: -0.177
Space-group type: R3m (160)
DOS(E_F), states/eV per atom: 0.516



The following is a DFT calculation (PBE) of a relaxed structure of FeRe2Te.

POSCAR file:
```
FeRe2Te
1.0
0.000 3.170 3.170
3.170 0.000 3.170
3.170 3.170 0.000
Fe Re Te
1 2 1
direct
0.000 0.000 0.000 Fe
0.500 0.500 0.500 Re
0.750 0.750 0.750 Re
0.250 0.250 0.250 Te
```

## Properties
Uncorrected energy, eV per atom: -8.387
Formation energy without anion corrections, eV per atom: 0.738
Space-group type: F-43m (216)
DOS(E_F), states/eV per atom: 1.402



The following is a DFT calculation (PBE) of a relaxed structure of YCo2Pb.

POSCAR file:
```
YCo2Pb
1.0
3.382 0.000 0.000
0.000 3.382 0.000
0.000 0.000 6.376
Y Co Pb
1 2 1
direct
0.000 0.000 0.000 Y
0.500 0.500 0.266 Co
0.500 0.500 0.734 Co
0.000 0.000 0.500 Pb
```

## Properties
Uncorrected energy, eV per atom: -5.939
Energy of formation from the pure elements, eV per formula unit: 0.63
Space-group type: P4/mmm (123)
DOS(E_F), states/eV per atom: 0.705



The following is a DFT calculation (PBE) of a relaxed structure of BaTa2In.

POSCAR file:
```
BaTa2In
1.0
3.085 0.000 0.000
0.000 5.415 0.000
0.000 0.000 5.680
Ba Ta In
1 2 1
direct
0.000 0.000 0.000 Ba
0.000 0.500 0.500 Ta
0.500 0.500 0.000 Ta
0.500 0.000 0.500 In
```

## Properties
Uncorrected energy, eV per atom: -6.179
Energy of formation from the pure elements, eV per formula unit: 3.65
E above lowest polymorph, meV per atom: 529
Space-group type: Pmmm (47)
DOS(E_F), states/eV per atom: 0.847



The following is a DFT calculation (PBE) of a relaxed structure of K5AsO.

POSCAR file:
```
K5AsO
1.0
5.897 -3.935 0.000
5.897 3.935 0.000
-4.334 0.000 10.520
K As O
10 2 2
direct
0.033 0.358 0.620 K
0.037 0.963 0.750 K
0.202 0.605 0.972 K
0.358 0.033 0.120 K
0.395 0.798 0.528 K
0.605 0.202 0.472 K
0.642 0.967 0.880 K
0.798 0.395 0.028 K
0.963 0.037 0.250 K
0.967 0.642 0.380 K
0.496 0.504 0.750 As
0.504 0.496 0.250 As
0.000 0.000 0.000 O
0.000 0.000 0.500 O
```

## Properties
Uncorrected energy, eV per atom: -2.733
Formation energy without anion corrections, eV per atom: -0.577
Space-group type: C2/c (15)
DOS(E_F), states/eV per atom: 0.515



Look up the DOS(E_F) of the sixth one.
0.515 states/eV per atom



Which value of uncorrected energy does entry 1 give?
-6.504 eV per atom



Look up the uncorrected energy of the first one.
-6.504 eV per atom



Look up the DOS(E_F) of the fourth one.
0.705 states/eV per atom